Entry from the Open Quantum Materials Database: a geometry-optimized Hg2Cl structure (GGA-PBE).

a b c (Å): 9.674 9.674 9.674
angles (deg): 60.00 60.00 60.00
Fractional coordinates of all 6 atoms:
Cl  0.250  0.250  0.250
Cl  0.500  0.500  0.500
Hg  0.375  0.375  0.375
Hg  0.875  0.375  0.375
Hg  0.375  0.875  0.375
Hg  0.375  0.375  0.875

Results
theoretical density = 2265 kg/m³
ΔE to the lowest computed polymorph = 0.208 eV/atom
DFT total energy = -0.64 eV per atom



Entry from the Open Quantum Materials Database: a geometry-optimized HgCl2 structure (GGA-PBE).

a b c (Å): 5.960 5.960 5.960
angles (deg): 60.00 60.00 60.00
Fractional coordinates of all 6 atoms:
Cl  0.625  0.625  0.125
Cl  0.625  0.125  0.625
Cl  0.125  0.625  0.625
Cl  0.625  0.625  0.625
Hg  0.000  0.000  0.000
Hg  0.250  0.250  0.250

Results
theoretical density = 6024 kg/m³
DFT total energy = -0.85 eV per atom



Entry from the Open Quantum Materials Database: a geometry-optimized HgCl2 structure (GGA-PBE).

a b c (Å): 6.095 6.270 9.863
angles (deg): 90.00 90.00 90.00
Fractional coordinates of all 12 atoms:
Cl  0.500  0.799  0.114
Cl  0.000  0.202  0.137
Cl  0.000  0.702  0.363
Cl  0.500  0.299  0.386
Cl  0.000  0.201  0.614
Cl  0.500  0.798  0.637
Cl  0.500  0.298  0.863
Cl  0.000  0.701  0.886
Hg  0.000  0.692  0.124
Hg  0.000  0.192  0.376
Hg  0.500  0.308  0.624
Hg  0.500  0.808  0.876

Results
theoretical density = 4784 kg/m³
DFT total energy = -1.93 eV per atom



Entry from the Open Quantum Materials Database: a geometry-optimized HgCl3 structure (GGA-PBE).

a b c (Å): 6.774 6.774 8.839
angles (deg): 121.32 121.32 52.73
Fractional coordinates of all 8 atoms:
Cl  0.256  0.744  0.000
Cl  0.630  0.162  0.179
Cl  0.021  0.525  0.374
Cl  0.247  0.753  0.500
Cl  0.475  0.979  0.626
Cl  0.838  0.370  0.821
Hg  0.195  0.197  0.096
Hg  0.803  0.805  0.904

Results
theoretical density = 3878 kg/m³
DFT total energy = -1.85 eV per atom



Entry from the Open Quantum Materials Database: a geometry-optimized HgCl2 structure (GGA-PBE).

a b c (Å): 8.206 8.206 8.206
angles (deg): 60.00 60.00 60.00
Fractional coordinates of all 6 atoms:
Cl  0.375  0.375  0.375
Cl  0.875  0.375  0.375
Cl  0.375  0.875  0.375
Cl  0.375  0.375  0.875
Hg  0.250  0.250  0.250
Hg  0.500  0.500  0.500

Results
theoretical density = 2308 kg/m³
DFT total energy = -1.75 eV per atom



Entry from the Open Quantum Materials Database: a geometry-optimized HgCl structure (GGA-PBE).

a b c (Å): 3.919 3.919 3.970
angles (deg): 90.00 90.00 120.00
Fractional coordinates of all 2 atoms:
Cl  0.667  0.333  0.750
Hg  0.333  0.667  0.250

Results
theoretical density = 7425 kg/m³
ΔE to the lowest computed polymorph = 0.394 eV/atom
DFT total energy = -1.22 eV per atom



Entry from the Open Quantum Materials Database: a geometry-optimized Hg2Cl5 structure (GGA-PBE).

a b c (Å): 10.789 10.789 4.308
angles (deg): 90.10 90.10 65.16
Fractional coordinates of all 14 atoms:
Cl  0.045  0.783  0.024
Cl  0.575  0.828  0.191
Cl  0.527  0.473  0.250
Cl  0.172  0.425  0.309
Cl  0.217  0.955  0.476
Cl  0.783  0.045  0.524
Cl  0.828  0.575  0.691
Cl  0.473  0.527  0.750
Cl  0.425  0.172  0.809
Cl  0.955  0.217  0.976
Hg  0.612  0.095  0.154
Hg  0.905  0.388  0.346
Hg  0.095  0.612  0.654
Hg  0.388  0.905  0.846

Results
theoretical density = 4222 kg/m³
DFT total energy = -1.88 eV per atom



Entry from the Open Quantum Materials Database: a geometry-optimized HgCl2 structure (GGA-PBE).

a b c (Å): 3.965 3.965 12.074
angles (deg): 90.00 90.00 120.00
Fractional coordinates of all 6 atoms:
Cl  0.000  0.000  0.254
Cl  0.667  0.333  0.496
Cl  0.000  0.000  0.754
Cl  0.333  0.667  0.996
Hg  0.333  0.667  0.375
Hg  0.667  0.333  0.875

Results
theoretical density = 5484 kg/m³
DFT total energy = -1.89 eV per atom



Entry from the Open Quantum Materials Database: a geometry-optimized Hg2Cl structure (GGA-PBE).

a b c (Å): 6.003 6.003 6.003
angles (deg): 60.00 60.00 60.00
Fractional coordinates of all 6 atoms:
Cl  0.000  0.000  0.000
Cl  0.250  0.250  0.250
Hg  0.625  0.625  0.125
Hg  0.625  0.125  0.625
Hg  0.125  0.625  0.625
Hg  0.625  0.625  0.625

Results
theoretical density = 9480 kg/m³
ΔE to the lowest computed polymorph = 0.000 eV/atom
DFT total energy = -0.85 eV per atom



Entry from the Open Quantum Materials Database: a geometry-optimized HgCl structure (GGA-PBE).

a b c (Å): 4.330 4.330 4.330
angles (deg): 56.70 56.70 56.70
Fractional coordinates of all 2 atoms:
Cl  0.000  0.000  0.000
Hg  0.500  0.500  0.500

Results
theoretical density = 7394 kg/m³
ΔE to the lowest computed polymorph = 0.340 eV/atom
DFT total energy = -1.27 eV per atom



Entry from the Open Quantum Materials Database: a geometry-optimized HgCl structure (GGA-PBE).

a b c (Å): 4.659 4.659 4.659
angles (deg): 60.00 60.00 60.00
Fractional coordinates of all 2 atoms:
Cl  0.000  0.000  0.000
Hg  0.250  0.250  0.250

Results
theoretical density = 5480 kg/m³
ΔE to the lowest computed polymorph = 0.380 eV/atom
DFT total energy = -1.23 eV per atom



Entry from the Open Quantum Materials Database: a geometry-optimized Hg2ICl3 structure (GGA-PBE).

a b c (Å): 4.163 4.313 11.767
angles (deg): 90.00 90.00 90.00
Fractional coordinates of all 6 atoms:
Cl  0.500  0.500  0.381
Cl  0.000  0.000  0.625
Cl  0.500  0.500  0.860
Hg  0.500  0.000  0.501
Hg  0.000  0.500  0.990
I  0.000  0.000  0.143

Results
theoretical density = 4987 kg/m³
DFT total energy = -1.77 eV per atom